(1)
PBE-GGA Li2Cd6Cu, optimized geometry; crystal system = monoclinic; E = -1.61 eV per atom; ΔE_f = -0.12 eV per atom
1.0
4.133 -2.363 0.000
4.133 2.363 0.000
-0.151 0.000 8.810
Li Cd Cu
2 6 1
Direct
0.169 0.169 0.224
0.831 0.831 0.776
0.165 0.165 0.909
0.166 0.166 0.563
0.498 0.498 0.691
0.502 0.502 0.309
0.834 0.834 0.437
0.835 0.835 0.091
0.500 0.500 0.000

=====

(2)
PBE-GGA Pm2As3Pd4Au, optimized geometry; crystal system = tetragonal; E = -5.52 eV per atom; ΔE_f = -0.77 eV per atom
1.0
4.259 0.000 0.000
0.000 4.259 0.000
0.000 0.000 10.843
Pm As Pd Au
2 3 4 1
Direct
0.000 0.500 0.240
0.500 0.000 0.760
0.000 0.500 0.869
0.500 0.000 0.131
0.500 0.500 0.500
0.000 0.000 0.000
0.000 0.500 0.648
0.500 0.000 0.352
0.500 0.500 0.000
0.000 0.000 0.500

=====

(3)
PBE-GGA InTeS4, optimized geometry; crystal system = monoclinic; E = -3.80 eV per atom; raw formation energy = -0.07 eV per atom
1.0
14.458 0.000 0.000
0.000 3.731 0.000
-2.691 0.000 5.916
In Te S
2 2 8
Direct
0.000 0.000 0.000
0.500 0.500 0.000
0.000 0.500 0.500
0.500 0.000 0.500
0.111 0.500 0.931
0.117 0.000 0.451
0.383 0.500 0.549
0.389 0.000 0.069
0.611 0.000 0.931
0.617 0.500 0.451
0.883 0.000 0.549
0.889 0.500 0.069

=====

(4)
PBE-GGA BiSbN3, optimized geometry; crystal system = cubic; E = -4.77 eV per atom; raw formation energy = 1.83 eV per atom
1.0
4.261 0.000 0.000
0.000 4.261 0.000
0.000 0.000 4.261
Bi Sb N
1 1 3
Direct
0.000 0.000 0.000
0.500 0.500 0.500
0.000 0.000 0.500
0.000 0.500 0.000
0.500 0.000 0.000

=====

no.,density of states at the Fermi level (states/eV/cell)
1,3.6
2,5.7
3,6.6
4,2.8